1.
12
Lattice="7.518 0.203 0.350 -1.452 7.441 -0.241 -1.452 -3.898 6.343" Properties=species:S:1:pos:R:3 comment="Pm3Sb2P, relaxed, DFT GGA-PBE" vol_a3_per_cell=355.5 crystal_system=monoclinic space_group="C2/c (15)" e_tot_ev_per_atom=-5.9173 de_polymorph_ev_per_atom=0.000 e_form_raw_ev_per_fu=-7.6 pbc="T T T"
Pm -0.777 0.096 2.170
Pm 2.982 1.939 1.334
Sb 4.186 4.822 1.631
P 0.428 2.785 2.579
P 4.186 0.961 3.872
Pm 1.632 1.807 5.118
Pm 3.033 -1.847 3.346
Sb 4.186 -2.809 6.062
Sb 0.428 6.555 0.390
Pm -0.726 3.720 -0.120
Pm 5.391 3.650 4.282
Sb 0.428 -1.076 4.821

***

2.
4
Lattice="3.755 0.000 0.000 0.000 3.755 0.000 0.000 0.000 7.318" Properties=species:S:1:pos:R:3 comment="YHfSc2, relaxed, DFT GGA-PBE" vol_a3_per_cell=103.2 crystal_system=tetragonal space_group="P4/mmm (123)" delta_e_f_kj_per_mol_fu=55 e_tot_ev_per_atom=-7.1274 de_polymorph_ev_per_atom=0.093 pbc="T T T"
Y 1.877 1.877 3.659
Sc 0.000 0.000 5.741
Sc 0.000 0.000 1.577
Hf 1.877 1.877 0.000

***

3.
12
Lattice="-3.910 -1.111 3.798 0.939 -5.013 2.223 5.927 6.347 2.522" Properties=species:S:1:pos:R:3 comment="Li2InGa3, relaxed, DFT GGA-PBE" vol_a3_per_cell=228.1 crystal_system=orthorhombic space_group="Fmmm (69)" delta_e_f_kj_per_mol_fu=-108 e_tot_ev_per_atom=-2.7938 de_polymorph_ev_per_atom=0.000 pbc="T T T"
In -0.012 -1.971 4.847
Ga 1.529 -0.831 6.767
Ga 4.494 4.338 3.087
Ga -0.004 -0.951 2.346
Li 2.690 -0.864 3.878
Li 0.265 1.087 4.666
Li -0.258 -4.050 2.612
Ga 1.426 1.055 1.777
Ga 2.959 1.175 6.198
Li -2.713 -2.074 3.410
Ga -1.539 -4.115 5.457
In 2.967 2.195 3.697

***

4.
9
Lattice="3.775 0.000 0.000 -1.887 3.269 0.000 0.000 0.000 27.938" Properties=species:S:1:pos:R:3 comment="Ac2PmPr6, relaxed, DFT GGA-PBE" vol_a3_per_cell=344.8 crystal_system=hexagonal space_group="P-6m2 (187)" delta_e_f_kj_per_mol_fu=64 e_tot_ev_per_atom=-4.5535 pbc="T T T"
Pm 0.000 2.179 0.000
Ac 1.887 1.090 9.181
Pr 0.000 2.179 12.246
Pr 0.000 2.179 5.959
Pr 1.887 1.090 2.971
Ac 1.887 1.090 18.757
Pr 0.000 2.179 15.691
Pr 1.887 1.090 24.967
Pr 0.000 2.179 21.979

***

5.
19
Lattice="-1.497 6.846 1.593 -5.829 -3.423 -2.438 2.827 -3.413 5.657" Properties=species:S:1:pos:R:3 comment="V12Ge6Mo, relaxed, DFT GGA-PBE" vol_a3_per_cell=267.1 crystal_system=trigonal space_group="R-3 (148)" delta_e_f_kj_per_mol_fu=-210 e_tot_ev_per_atom=-7.9016 pbc="T T T"
Ge -1.794 -2.460 4.374
Ge -2.066 2.692 4.109
V 0.812 -2.411 3.870
V -0.873 -1.340 2.191
V -5.311 2.421 0.941
Ge 0.691 0.222 3.617
V -1.837 0.079 4.296
V -1.200 4.013 1.976
Mo 0.000 0.000 0.000
V -4.260 -1.592 -0.875
V -0.962 1.419 2.102
V -3.626 1.349 2.620
Ge -2.433 -2.683 0.702
V -0.239 1.602 5.686
V -2.662 -0.069 0.515
V -3.537 -1.409 2.709
V -3.299 -4.003 2.835
Ge -2.705 2.470 0.437
Ge -5.190 -0.213 1.194

***

6.
16
Lattice="9.238 0.000 0.000 0.000 4.278 0.000 0.000 0.000 5.255" Properties=species:S:1:pos:R:3 comment="MnRe, relaxed, DFT GGA-PBE" vol_a3_per_cell=207.7 crystal_system=orthorhombic space_group="Pnma (62)" delta_e_f_kj_per_mol_fu=11 e_tot_ev_per_atom=-10.7515 pbc="T T T"
Mn 6.173 3.209 0.010
Re 1.569 3.209 5.227
Re 5.320 1.070 3.995
Mn 7.683 1.070 2.637
Mn 3.814 3.209 3.930
Re 3.917 3.209 1.261
Re 7.668 1.070 0.028
Mn 1.554 3.209 2.618
Re 8.536 3.209 1.367
Mn 8.433 3.209 3.953
Mn 5.423 1.070 1.325
Mn 0.805 1.070 1.302
Re 6.188 3.209 2.656
Mn 3.065 1.070 5.246
Re 3.049 1.070 2.600
Re 0.702 1.070 3.888

***

7.
8
Lattice="5.347 0.000 0.000 0.000 5.347 0.000 2.673 2.673 5.041" Properties=species:S:1:pos:R:3 comment="Cr2IrCl, relaxed, DFT GGA-PBE" vol_a3_per_cell=144.1 crystal_system=tetragonal space_group="I-42d (122)" e_tot_ev_per_atom=-6.7885 de_polymorph_ev_per_atom=0.624 e_form_raw_ev_per_fu=2.8 pbc="T T T"
Cl 2.673 2.673 0.000
Cr 4.010 4.066 3.780
Cr 3.955 1.337 1.260
Ir 5.347 2.673 2.520
Ir 0.000 0.000 0.000
Cl 2.673 5.347 2.520
Cr 1.392 4.010 1.260
Cr 6.684 6.628 3.780

***

8.
6
Lattice="1.399 5.419 0.008 -1.399 5.419 0.008 0.000 1.824 4.927" Properties=species:S:1:pos:R:3 comment="W2C, relaxed, DFT GGA-PBE" vol_a3_per_cell=74.6 crystal_system=monoclinic space_group="C2/m (12)" delta_e_f_kj_per_mol_fu=85 e_tot_ev_per_atom=-11.4169 pbc="T T T"
W 0.000 4.466 3.602
W 0.000 10.995 1.322
C 0.000 4.170 0.297
W 0.000 8.196 1.342
C 0.000 8.491 4.647
W 0.000 1.666 3.622

***

9.
10
Lattice="3.191 0.000 0.000 0.000 6.413 0.328 0.000 -2.285 6.907" Properties=species:S:1:pos:R:3 comment="Sm2BCN, relaxed, DFT GGA-PBE" vol_a3_per_cell=143.7 crystal_system=monoclinic space_group="P2_1/m (11)" e_tot_ev_per_atom=-7.3904 e_form_raw_ev_per_fu=-3.3 pbc="T T T"
Sm 2.393 3.514 4.095
Sm 0.798 0.614 3.139
C 2.393 1.226 5.288
Sm 2.393 4.858 0.728
N 0.798 3.380 6.007
N 2.393 0.748 1.227
Sm 0.798 -0.731 6.507
B 0.798 1.938 5.525
C 0.798 2.902 1.946
B 2.393 2.190 1.709

***

10.
4
Lattice="4.186 0.000 0.000 -2.093 4.311 -0.841 0.000 -0.858 5.827" Properties=species:S:1:pos:R:3 comment="AcBiPdRh, relaxed, DFT GGA-PBE" vol_a3_per_cell=102.1 crystal_system=monoclinic space_group="Cm (8)" delta_e_f_kj_per_mol_fu=-198 e_tot_ev_per_atom=-5.6474 de_polymorph_ev_per_atom=0.000 pbc="T T T"
Pd 2.093 2.630 0.714
Ac 0.000 -0.371 5.170
Rh 2.093 0.017 1.631
Bi 0.000 1.806 2.434

***

11.
4
Lattice="-0.894 3.567 -3.312 1.240 -0.662 -4.745 -3.525 -0.621 -3.415" Properties=species:S:1:pos:R:3 comment="CeZr2Cu, relaxed, DFT GGA-PBE" vol_a3_per_cell=85.7 crystal_system=cubic space_group="F-43m (216)" delta_e_f_kj_per_mol_fu=48 e_tot_ev_per_atom=-6.6582 de_polymorph_ev_per_atom=0.138 pbc="T T T"
Cu -2.384 1.714 -8.604
Ce -1.590 1.142 -5.736
Zr -0.794 0.571 -2.868
Zr 0.346 2.905 -8.057

***

12.
5
Lattice="5.021 0.000 0.000 0.000 5.021 0.000 0.000 0.000 5.021" Properties=species:S:1:pos:R:3 comment="SrCu3Pb, relaxed, DFT GGA-PBE" vol_a3_per_cell=126.6 crystal_system=cubic space_group="Pm-3m (221)" delta_e_f_kj_per_mol_fu=161 e_tot_ev_per_atom=-3.2015 de_polymorph_ev_per_atom=0.000 pbc="T T T"
Pb 0.000 0.000 0.000
Sr 2.511 2.511 2.511
Cu 0.000 2.511 0.000
Cu 0.000 0.000 2.511
Cu 2.511 0.000 0.000

***

13.
4
Lattice="-5.650 0.801 -6.101 -4.075 -2.128 -6.975 -6.600 -2.164 -4.641" Properties=species:S:1:pos:R:3 comment="Zr2CdCo, relaxed, DFT GGA-PBE" vol_a3_per_cell=83.1 crystal_system=trigonal space_group="R-3m (166)" delta_e_f_kj_per_mol_fu=-16 e_tot_ev_per_atom=-6.3197 pbc="T T T"
Zr -0.299 -0.064 -0.324
Zr -7.864 -1.682 -8.534
Co -12.244 -2.619 -13.288
Cd -4.081 -0.873 -4.429

***

14.
11
Lattice="8.106 0.000 0.000 -4.053 7.034 -0.366 0.000 -4.474 7.791" Properties=species:S:1:pos:R:3 comment="Rb2LiIn2Br6, relaxed, DFT GGA-PBE" vol_a3_per_cell=431.0 crystal_system=monoclinic space_group="C2/m (12)" e_tot_ev_per_atom=-2.9200 e_form_raw_ev_per_fu=-12.8 pbc="T T T"
Rb 4.053 2.306 1.229
In 4.053 2.879 5.985
Li 4.053 -2.237 3.896
Br 4.053 0.745 4.280
Br 5.900 -2.492 5.932
Br 0.000 1.815 3.145
Br 2.206 -2.492 5.932
Br 1.847 5.053 1.494
In 0.000 -0.318 1.441
Br -1.847 5.053 1.494
Rb 0.000 0.254 6.197

***

15.
4
Lattice="3.278 0.000 0.000 1.639 2.839 0.000 1.639 0.946 10.751" Properties=species:S:1:pos:R:3 comment="Dy2TaBr, relaxed, DFT GGA-PBE" vol_a3_per_cell=100.0 crystal_system=trigonal space_group="R-3m (166)" e_tot_ev_per_atom=-5.5052 e_form_raw_ev_per_fu=0.7 pbc="T T T"
Dy 1.639 0.946 7.782
Br 3.278 1.892 5.376
Dy 4.917 2.839 2.969
Ta 0.000 0.000 0.000

***

16.
12
Lattice="-3.540 0.308 1.188 1.266 -5.507 5.200 3.723 6.853 3.409" Properties=species:S:1:pos:R:3 comment="Sc6GaAs2S3, relaxed, DFT GGA-PBE" vol_a3_per_cell=231.9 crystal_system=monoclinic space_group="C2/m (12)" e_tot_ev_per_atom=-6.7025 e_form_raw_ev_per_fu=-17.7 pbc="T T T"
As 1.067 0.494 3.051
Ga -1.770 0.154 0.594
Sc 2.464 -0.405 7.448
S -1.137 -2.599 3.194
Sc -1.015 2.059 2.349
Sc 0.499 5.710 5.916
Sc -0.376 -0.703 4.972
Sc 0.949 -4.056 3.881
S -0.262 3.872 4.124
S 1.711 -2.217 5.673
Sc 1.824 2.358 4.825
As 0.382 1.161 6.746

***

17.
4
Lattice="-3.406 -0.760 -0.509 1.396 -3.207 -0.454 -0.800 -1.402 7.441" Properties=species:S:1:pos:R:3 comment="Sb2AuSe, relaxed, DFT GGA-PBE" vol_a3_per_cell=93.4 crystal_system=orthorhombic space_group="Cmmm (65)" e_tot_ev_per_atom=-3.6036 e_form_raw_ev_per_fu=0.6 pbc="T T T"
Au -1.605 -3.035 5.099
Sb -0.407 -0.713 3.784
Se -1.205 -2.334 1.378
Sb -0.793 -1.390 7.377

***

18.
19
Lattice="-2.377 6.513 0.802 -6.104 -5.315 -5.297 -7.818 -3.602 6.074" Properties=species:S:1:pos:R:3 comment="Nd5Tm12Th2, relaxed, DFT GGA-PBE" vol_a3_per_cell=617.5 crystal_system=monoclinic space_group="C2/m (12)" delta_e_f_kj_per_mol_fu=334 e_tot_ev_per_atom=-4.6775 de_polymorph_ev_per_atom=0.154 pbc="T T T"
Tm -3.895 0.483 -0.510
Th -1.746 4.784 0.589
Tm -9.626 -1.698 0.150
Th -0.631 1.728 0.213
Nd -6.325 -2.073 -1.914
Tm -6.672 -0.706 1.429
Tm -11.198 -6.192 1.682
Tm -7.838 2.488 1.822
Tm -5.101 3.788 -0.103
Tm -8.461 -4.892 -0.243
Tm -12.404 -2.887 2.089
Nd -9.974 -0.331 3.493
Tm -6.442 0.837 4.476
Nd -3.909 -1.801 3.037
Nd -7.105 1.351 -1.661
Nd -9.194 -3.755 3.240
Tm -6.282 -2.809 4.192
Tm -10.017 0.405 -2.613
Tm -9.856 -3.241 -2.897

***

19.
11
Lattice="-3.109 7.242 -5.728 -1.646 -9.466 1.619 -1.407 -3.556 8.961" Properties=species:S:1:pos:R:3 comment="Pm4NdDy6, relaxed, DFT GGA-PBE" vol_a3_per_cell=378.9 crystal_system=tetragonal space_group="I-42m (121)" delta_e_f_kj_per_mol_fu=327 e_tot_ev_per_atom=-4.3627 de_polymorph_ev_per_atom=0.000 pbc="T T T"
Dy -2.600 2.113 -1.616
Pm -1.065 -6.059 1.153
Dy -2.378 -1.112 -2.054
Dy -2.792 -4.608 3.800
Dy -1.869 -7.101 7.932
Pm -2.294 -2.009 1.692
Dy -1.954 -9.205 5.318
Dy -2.258 1.843 1.617
Pm -4.941 -8.344 6.876
Pm -0.916 -2.390 5.711
Nd 0.000 0.000 0.000

***

20.
18
Lattice="-0.038 -2.446 7.940 7.961 2.260 0.734 -5.988 6.584 -2.347" Properties=species:S:1:pos:R:3 comment="DyEr3Sc5, relaxed, DFT GGA-PBE" vol_a3_per_cell=489.0 crystal_system=tetragonal space_group="I4/mcm (140)" delta_e_f_kj_per_mol_fu=258 e_tot_ev_per_atom=-5.2529 pbc="T T T"
Sc 1.075 1.491 3.028
Sc 5.755 1.821 6.718
Sc 5.059 2.841 2.682
Sc 0.164 5.927 -0.737
Er 2.948 3.153 5.332
Sc -3.124 3.558 3.644
Sc -3.820 4.578 -0.391
Er 4.894 -0.756 7.450
Dy 2.967 4.376 1.362
Er 6.999 1.059 3.673
Sc 0.860 4.907 3.299
Sc 3.961 -0.093 4.337
Er -1.013 3.246 0.995
Er 0.923 -1.245 5.002
Er 3.029 0.570 1.224
Dy -1.032 2.023 4.965
Sc 0.000 0.000 0.000
Sc 1.771 0.471 7.064

***

21.
10
Lattice="3.202 0.000 0.000 0.000 3.202 0.000 0.000 0.000 15.946" Properties=species:S:1:pos:R:3 comment="Zr5Fe4Ru, relaxed, DFT GGA-PBE" vol_a3_per_cell=163.5 crystal_system=tetragonal space_group="P4/mmm (123)" delta_e_f_kj_per_mol_fu=-262 e_tot_ev_per_atom=-8.8586 pbc="T T T"
Fe 0.000 0.000 6.398
Ru 0.000 0.000 0.000
Zr 1.601 1.601 4.817
Zr 1.601 1.601 7.973
Fe 0.000 0.000 12.711
Zr 1.601 1.601 1.668
Zr 1.601 1.601 11.129
Fe 0.000 0.000 9.548
Fe 0.000 0.000 3.235
Zr 1.601 1.601 14.278

***

22.
9
Lattice="4.769 0.000 0.000 2.385 4.130 0.000 0.000 0.000 4.685" Properties=species:S:1:pos:R:3 comment="AcCdNiH6, relaxed, DFT GGA-PBE" vol_a3_per_cell=92.3 crystal_system=hexagonal space_group="P-6m2 (187)" e_tot_ev_per_atom=-3.5615 pbc="T T T"
Ac 7.154 4.130 4.684
H 1.365 1.965 1.100
Cd 4.769 2.754 2.342
H 2.385 0.200 1.100
H 1.365 1.965 3.585
Ni 2.385 1.377 2.342
H 3.404 1.965 3.585
H 3.404 1.965 1.100
H 2.384 0.200 3.585

***

23.
4
Lattice="-3.525 1.575 -1.939 -0.400 -2.695 3.353 2.511 6.117 5.214" Properties=species:S:1:pos:R:3 comment="SrTlSCl, relaxed, DFT GGA-PBE" vol_a3_per_cell=130.0 crystal_system=trigonal space_group="R3m (160)" e_tot_ev_per_atom=-4.1023 de_polymorph_ev_per_atom=0.000 e_form_raw_ev_per_fu=-6.4 pbc="T T T"
Sr -0.572 -1.793 3.489
Cl -2.650 2.302 0.965
S 0.892 4.492 5.930
Tl -0.156 4.532 3.055